[1]
Here is LiLaPrSi after structural relaxation from the Alexandria database. Energies are from GGA-PBE.

The value obtained for the volume is 25.31 Å³/atom. The value obtained for the uncorrected formation energy is -1.34 eV/f.u.

Lattice parameters (Å, degrees): 7.3987 7.3987 7.3987 90.00 90.00 90.00
Space group F-43m (No. 216)
Symmetry-distinct sites (fractional):
Li (0.0000, 0.0000, 0.0000) (multiplicity 4)
La (0.2500, 0.2500, 0.7500) (multiplicity 4)
Pr (0.2500, 0.2500, 0.2500) (multiplicity 4)
Si (0.0000, 0.0000, 0.5000) (multiplicity 4)


[2]
Here is UGe4Rh5 after structural relaxation from the Alexandria database. Energies are from GGA-PBE.

The value obtained for the volume is 17.20 Å³/atom. The formation energy is -0.40 eV per atom.

Lattice parameters (Å, degrees): 7.2231 8.5798 5.5499 90.00 90.00 90.00
Space group Pmmn (No. 59, origin choice 2)
Symmetry-distinct sites (fractional):
U (0.2500, 0.2500, 0.0904) (multiplicity 2)
Ge (0.0618, 0.2500, 0.5893) (multiplicity 4)
Ge (0.2500, 0.5978, 0.9623) (multiplicity 4)
Rh (0.0341, 0.0240, 0.2594) (multiplicity 8)
Rh (0.2500, 0.7500, 0.5870) (multiplicity 2)


[3]
Here is LaMgZnGa2 after structural relaxation from the Alexandria database. Energies are from GGA-PBE.

The value obtained for the volume is 21.37 Å³/atom. The formation energy is -0.49 eV per atom.

Lattice parameters (Å, degrees): 4.3487 4.3487 11.2998 90.00 90.00 90.00
Space group I-4m2 (No. 119)
Symmetry-distinct sites (fractional):
La (0.0000, 0.0000, 0.0000) (multiplicity 2)
Mg (0.0000, 0.5000, 0.2500) (multiplicity 2)
Zn (0.0000, 0.5000, 0.7500) (multiplicity 2)
Ga (0.0000, 0.0000, 0.3892) (multiplicity 4)